VASP calculation (meta-GGA SCAN) on TlGe2Rh2 at its PBEsol-relaxed geometry.

a = 4.258 Å, b = 4.258 Å, c = 5.754 Å
α = 111.72°, β = 111.72°, γ = 90.00°
Positions (direct):
Tl 0.000 0.000 0.000
Rh 0.250 0.750 0.500
Rh 0.750 0.250 0.500
Ge 0.371 0.371 0.743
Ge 0.629 0.629 0.257

Properties
E_form in eV per formula unit: -1.5